DFT (PBE-GGA) results for a relaxed structure of BaSn2Au.

Crystal system: cubic

Cell lengths 7.7069, 7.7069, 7.7069 Å; angles 90.00, 90.00, 90.00 degrees
Last column: nearest neighbours and their distance in Å.
Space group Fm-3m (No. 225)
One atom of each set of equivalent atoms:
1 Ba 0.0000 0.0000 0.0000 x4  8 Sn 3.34
2 Sn 0.2500 0.2500 0.2500 x8  4 Au 3.34, 4 Ba 3.34
3 Au 0.0000 0.0000 0.5000 x4  8 Sn 3.34

***

DFT (PBE-GGA) results for a relaxed structure of ZrRu2.

Crystal system: monoclinic

Cell lengths 10.1969, 2.9467, 6.7028 Å; angles 90.00, 101.21, 90.00 degrees
Last column: nearest neighbours and their distance in Å.
Space group Cm (No. 8)
One atom of each set of equivalent atoms:
1 Zr 0.0000 0.0000 0.0000 x2  8 Ru 2.74-2.90, 2 Zr 2.95
2 Zr 0.2054 0.5000 0.3722 x2  8 Ru 2.67-2.87, 2 Zr 2.95
3 Ru 0.1333 0.5000 0.7376 x2  3 Zr 2.69-2.84, 9 Ru 2.78-2.95
4 Ru 0.2850 0.0000 0.0615 x2  5 Zr 2.74-2.85, 5 Ru 2.76-2.95
5 Ru 0.3561 0.0000 0.6851 x2  8 Ru 2.74-2.95, 4 Zr 2.75-2.77
6 Ru 0.4719 0.5000 0.4220 x2  4 Zr 2.67-2.90, 6 Ru 2.74-2.95

***

| no. | ΔH_f (0 K) (meV/atom) | Fermi-level density of states (states/eV per atom) |
| --- | --- | --- |
| 1 | -201 | 0.52 |
| 2 | -97 | 0.92 |